(1)
Material: SmDy2ThP4
Method: DFT, PBE-GGA
State: optimized geometry

Cell: 4.074 7.030 7.046 Å, 70.52 90.00 90.00°
Positions (direct):
P1 0.500 0.244 0.752
Th1 0.000 0.500 0.500
Dy1 0.000 0.000 0.000
Dy2 0.500 0.000 0.500
P2 0.500 0.756 0.248
P3 0.000 0.756 0.747
Sm1 0.500 0.500 0.000
P4 0.000 0.244 0.253

Values from the calculation:
Spin magnetization   0.0 μB per formula unit
Energy of formation   -1608 meV per atom



(2)
Material: SmDyTh2P4
Method: DFT, PBE-GGA
State: optimized geometry

Cell: 4.112 7.077 7.123 Å, 70.34 90.00 90.00°
Positions (direct):
Sm1 0.500 0.500 0.000
Dy1 0.000 0.500 0.500
P1 0.500 0.746 0.254
Th1 0.000 0.000 0.000
Th2 0.500 0.000 0.500
P2 0.000 0.748 0.748
P3 0.500 0.254 0.746
P4 0.000 0.252 0.252

Values from the calculation:
Spin magnetization   0.0 μB per formula unit
Energy of formation   -1579 meV per atom



(3)
Material: SmDy3Tm2P6
Method: DFT, PBE-GGA
State: optimized geometry

Cell: 6.937 6.937 6.937 Å, 99.59 99.59 119.99°
Positions (direct):
P1 0.422 0.083 0.250
P2 0.256 0.256 0.751
Tm1 0.333 0.667 0.000
Sm1 0.000 0.000 0.000
P3 0.744 0.744 0.249
Dy1 0.834 0.166 0.500
P4 0.917 0.578 0.750
P5 0.083 0.422 0.250
Dy2 0.166 0.834 0.500
P6 0.578 0.917 0.750
Dy3 0.500 0.500 0.500
Tm2 0.667 0.333 0.000

Values from the calculation:
Spin magnetization   0.0 μB per formula unit
Energy of formation   -1599 meV per atom